Ba2Na2Ag, relaxed, DFT PBEsol; energy = -10.34 eV per cell; size of the total moment = 0.0 μB per formula unit; DOS(E_F) = 3.12 states/eV/f.u.; energy relative to the elements = 13 meV per atom
1.0
-2.134 2.134 10.626
2.134 -2.134 10.626
2.134 2.134 -10.626
Ba Na Ag
2 2 1
direct
0.087 0.087 0.000
0.913 0.913 0.000
0.250 0.750 0.500
0.750 0.250 0.500
0.500 0.500 0.000

Ti3BeAu, relaxed, DFT PBEsol; energy = -27.29 eV per cell; size of the total moment = 0.0 μB per formula unit; DOS(E_F) = 7.99 states/eV/f.u.; energy relative to the elements = 1120 meV per atom
1.0
4.790 0.000 0.000
0.000 4.790 0.000
0.000 0.000 4.790
Ti Be Au
3 1 1
direct
0.000 0.000 0.500
0.000 0.500 0.000
0.500 0.000 0.000
0.500 0.500 0.500
0.000 0.000 0.000

CoRh2, relaxed, DFT PBEsol; energy = -47.62 eV per cell; size of the total moment = 1.6 μB per formula unit; DOS(E_F) = 4.65 states/eV/f.u.; energy relative to the elements = 68 meV per atom
1.0
2.256 -3.892 0.000
2.256 3.892 0.000
-1.542 0.000 4.265
Co Rh
2 4
direct
0.080 0.920 0.750
0.920 0.080 0.250
0.244 0.756 0.250
0.418 0.582 0.750
0.582 0.418 0.250
0.756 0.244 0.750

LaYSc2, relaxed, DFT PBEsol; energy = -24.72 eV per cell; size of the total moment = 0.0 μB per formula unit; DOS(E_F) = 8.19 states/eV/f.u.; energy above the lowest structure with this stoichiometry = 0.119 eV/atom; energy relative to the elements = 164 meV per atom
1.0
1.786 -2.791 0.000
1.786 2.791 0.000
0.000 0.000 11.148
La Y Sc
1 1 2
direct
0.000 0.000 0.000
0.000 0.000 0.500
0.500 0.500 0.257
0.500 0.500 0.743

Please write out number 4 again, unchanged.
LaYSc2, relaxed, DFT PBEsol; energy = -24.72 eV per cell; size of the total moment = 0.0 μB per formula unit; DOS(E_F) = 8.19 states/eV/f.u.; energy above the lowest structure with this stoichiometry = 0.119 eV/atom; energy relative to the elements = 164 meV per atom
1.0
1.786 -2.791 0.000
1.786 2.791 0.000
0.000 0.000 11.148
La Y Sc
1 1 2
direct
0.000 0.000 0.000
0.000 0.000 0.500
0.500 0.500 0.257
0.500 0.500 0.743